(1)
VASP calculation (PBE) on a geometry-optimized CdPt2Cl structure. Values from VASP.

```
&SYSTEM
  ibrav = 0, nat = 4, ntyp = 3
/
ATOMIC_SPECIES
Pt 195.08 Pt.upf
Cd 112.41 Cd.upf
Cl 35.45 Cl.upf
ATOMIC_POSITIONS crystal
Pt 0.500 0.500 0.000
Pt 0.000 0.000 0.000
Cd 0.500 0.000 0.500
Cl 0.000 0.500 0.500
CELL_PARAMETERS angstrom
-1.009 -2.354 4.121
2.138 -3.987 -1.754
2.633 0.902 1.160
```

Values from the calculation:
The value obtained for the density of states at the Fermi level is 0.8255 states/eV per atom. As for the excess energy over the best structure of this formula in the dataset: 442 meV/atom. The energy relative to the elements, uncorrected comes out at 0.4021 eV/atom. As for the total energy: -3.3087 eV per atom.

---

(2)
VASP calculation (PBE) on a geometry-optimized CdPtCl3 structure. Values from VASP.

```
&SYSTEM
  ibrav = 0, nat = 5, ntyp = 3
/
ATOMIC_SPECIES
Cl 35.45 Cl.upf
Pt 195.08 Pt.upf
Cd 112.41 Cd.upf
ATOMIC_POSITIONS crystal
Cl 0.500 0.000 0.000
Cl 0.000 0.000 0.500
Cl 0.000 0.500 0.000
Pt 0.000 0.000 0.000
Cd 0.500 0.500 0.500
CELL_PARAMETERS angstrom
4.915 0.000 0.000
0.000 4.915 0.000
0.000 0.000 4.915
```

Values from the calculation:
The value obtained for the density of states at the Fermi level is 0.4315 states/eV per atom. As for the excess energy over the best structure of this formula in the dataset: 0 meV/atom. The energy relative to the elements, uncorrected comes out at -0.1990 eV/atom. As for the total energy: -2.6982 eV per atom.

---

(3)
VASP calculation (PBE) on a geometry-optimized Cd2PtCl structure. Values from VASP.

```
&SYSTEM
  ibrav = 0, nat = 4, ntyp = 3
/
ATOMIC_SPECIES
Cd 112.41 Cd.upf
Cl 35.45 Cl.upf
Pt 195.08 Pt.upf
ATOMIC_POSITIONS crystal
Cd 0.500 0.126 0.375
Cl 0.000 0.624 0.375
Pt 0.500 0.626 0.875
Cd 0.000 0.125 0.875
CELL_PARAMETERS angstrom
5.044 0.000 0.000
0.000 3.069 0.004
0.000 -0.007 5.047
```

Values from the calculation:
The value obtained for the density of states at the Fermi level is 0.3316 states/eV per atom. As for the excess energy over the best structure of this formula in the dataset: 133 meV/atom. The energy relative to the elements, uncorrected comes out at -0.2886 eV/atom. As for the total energy: -2.7180 eV per atom.

---

(4)
VASP calculation (PBE) on a geometry-optimized Cd2PtCl8 structure. Values from VASP.

```
&SYSTEM
  ibrav = 0, nat = 11, ntyp = 3
/
ATOMIC_SPECIES
Cl 35.45 Cl.upf
Pt 195.08 Pt.upf
Cd 112.41 Cd.upf
ATOMIC_POSITIONS crystal
Cl 0.280 0.846 0.154
Pt 0.500 0.000 0.000
Cl 0.280 0.846 0.693
Cl 0.720 0.154 0.846
Cl 0.118 0.333 0.667
Cd 0.502 0.333 0.667
Cl 0.280 0.307 0.154
Cl 0.882 0.667 0.333
Cl 0.720 0.693 0.846
Cd 0.498 0.667 0.333
Cl 0.720 0.154 0.307
CELL_PARAMETERS angstrom
6.190 0.000 0.000
0.000 6.281 -3.627
0.000 0.000 7.253
```

Values from the calculation:
The energy relative to the elements, uncorrected comes out at -0.6791 eV/atom. As for the total energy: -2.7376 eV per atom.

---

(5)
VASP calculation (PBE) on a geometry-optimized CdPt2Cl structure. Values from VASP.

```
&SYSTEM
  ibrav = 0, nat = 4, ntyp = 3
/
ATOMIC_SPECIES
Cd 112.41 Cd.upf
Cl 35.45 Cl.upf
Pt 195.08 Pt.upf
ATOMIC_POSITIONS crystal
Cd 0.505 0.505 0.000
Cl 0.225 0.725 0.500
Pt 0.767 0.267 0.500
Pt 0.003 0.003 0.000
CELL_PARAMETERS angstrom
-3.900 -3.991 -0.565
2.477 -5.032 -0.082
-1.408 4.670 2.768
```

Values from the calculation:
The value obtained for the density of states at the Fermi level is 1.0685 states/eV per atom. As for the excess energy over the best structure of this formula in the dataset: 263 meV/atom. The energy relative to the elements, uncorrected comes out at 0.2235 eV/atom. As for the total energy: -3.4873 eV per atom.

---

(6)
VASP calculation (PBE) on a geometry-optimized Cd2PtCl structure. Values from VASP.

```
&SYSTEM
  ibrav = 0, nat = 4, ntyp = 3
/
ATOMIC_SPECIES
Pt 195.08 Pt.upf
Cd 112.41 Cd.upf
Cl 35.45 Cl.upf
ATOMIC_POSITIONS crystal
Pt 0.500 0.500 0.750
Cd 0.000 0.000 0.971
Cl 0.500 0.500 0.250
Cd 0.000 0.000 0.529
CELL_PARAMETERS angstrom
-1.906 -2.604 0.149
1.710 -1.386 -2.365
4.717 -3.152 5.258
```

Values from the calculation:
The value obtained for the density of states at the Fermi level is 0.4536 states/eV per atom. As for the excess energy over the best structure of this formula in the dataset: 77 meV/atom. The energy relative to the elements, uncorrected comes out at -0.3444 eV/atom. As for the total energy: -2.7738 eV per atom.